1.
Below is crystalline LiPrOs at its relaxed geometry, with properties calculated at the GGA-PBE level.

## Properties
Size of the total moment ... 0.00 μB/f.u.
Calculated density ... 7989 kg/m3
E ... -5.8748 eV per atom
Energy relative to the elements ... 100 meV/atom

Unit cell a=12.118 b=4.371 c=5.448 alpha=90.00 beta=103.07 gamma=90.00
Space group C2/m (No. 12)
Asymmetric unit:
Li (0.085, 0.000, 0.278) x4
Pr (0.120, 0.500, 0.827) x4
Os (0.227, 0.500, 0.404) x4

2.
Below is crystalline Sr5Ta at its relaxed geometry, with properties calculated at the GGA-PBE level.

## Properties
Polymorph energy (0 for the lowest one) ... 0.000 eV per atom
Size of the total moment ... 2.01 μB/f.u.
Calculated density ... 3845 kg/m3
E ... -2.8198 eV per atom
Energy relative to the elements ... 557 meV/atom

Unit cell a=14.175 b=4.007 c=10.150 alpha=90.00 beta=111.95 gamma=90.00
Space group C2/m (No. 12)
Asymmetric unit:
Sr (0.000, 0.000, 0.000) x2
Sr (0.133, 0.500, 0.370) x4
Sr (0.164, 0.500, 0.781) x4
Ta (0.000, 0.000, 0.500) x2

3.
Below is crystalline BeTeOs3 at its relaxed geometry, with properties calculated at the GGA-PBE level.

## Properties
Formation energy from raw total energies ... 2.715 eV per atom
Polymorph energy (0 for the lowest one) ... 1.749 eV per atom
Size of the total moment ... 0.64 μB/f.u.
Calculated density ... 10753 kg/m3
E ... -5.3965 eV per atom

Unit cell a=4.780 b=4.780 c=4.780 alpha=90.00 beta=90.00 gamma=90.00
Space group Pm-3m (No. 221)
Asymmetric unit:
Be (0.000, 0.000, 0.000) x1
Te (0.500, 0.500, 0.500) x1
Os (0.000, 0.500, 0.500) x3

4.
Below is crystalline TbY2Th at its relaxed geometry, with properties calculated at the GGA-PBE level.

## Properties
Polymorph energy (0 for the lowest one) ... 0.007 eV per atom
Size of the total moment ... 0.00 μB/f.u.
Calculated density ... 7352 kg/m3
E ... -6.2139 eV per atom
Energy relative to the elements ... 31 meV/atom

Unit cell a=12.308 b=7.126 c=6.219 alpha=90.00 beta=109.59 gamma=90.00
Space group C2/c (No. 15)
Asymmetric unit:
Tb (0.000, 0.128, 0.250) x4
Y (0.247, 0.376, 0.246) x8
Th (0.000, 0.378, 0.750) x4